(1)
The following is a DFT calculation (PBE) of an optimized crystal structure of Er2BeCuPt6.

Output
ΔH_f (0 K)   -0.75 eV per atom
Calculated density   14.2 g cm⁻³
Symmetry   No. 166

a b c (Å): 5.522 7.665 7.665
angles (deg): 42.23 68.89 90.00
Element x y z (fractional)
Er (0.296, 0.704, 0.408)
Pt (0.258, 0.742, 0.979)
Pt (0.742, 0.258, 0.021)
Pt (0.258, 0.237, 0.484)
Pt (0.238, 0.258, 0.021)
Cu (0.000, 0.000, 0.000)
Pt (0.742, 0.763, 0.516)
Be (0.500, 0.500, 0.000)
Pt (0.762, 0.742, 0.979)
Er (0.704, 0.296, 0.592)


(2)
The following is a DFT calculation (PBE) of an optimized crystal structure of ErBeCuSi2.

Output
Calculated density   6.6 g cm⁻³
Symmetry   No. 119
ΔE_f (raw)   -460 meV per atom

a b c (Å): 3.908 3.908 5.635
angles (deg): 110.29 110.29 90.00
Element x y z (fractional)
Be (0.250, 0.750, 0.500)
Cu (0.750, 0.250, 0.500)
Si (0.619, 0.619, 0.238)
Si (0.381, 0.381, 0.762)
Er (0.000, 0.000, 0.000)


> Look up the calculated density of the first one.

14.2 g cm⁻³


> Which of these has the highest calculated density?

Er2BeCuPt6